Material: Pr2Sm3Hg2
Method: DFT, GGA-PBE
State: optimized geometry

Structure (extended XYZ):
```
7
Lattice="3.681 0.000 -0.444 0.000 3.666 0.000 0.094 0.000 16.254" Properties=species:S:1:pos:R:3 pbc="T T T"
Pr 1.153 1.833 9.559
Pr 2.621 1.833 6.251
Sm 1.635 1.833 13.551
Sm 2.140 1.833 2.259
Sm 0.000 0.000 0.000
Hg 0.531 0.000 4.402
Hg 3.243 0.000 11.408
```

The value obtained for the energy above the lowest structure with this stoichiometry is 0 kJ/mol of formula units. Its formation energy from the elements is -0.205 eV/atom. The value obtained for the electronic total energy is -25.76 eV/cell.